[1]
# Be2AlSb2 | the Alexandria database | GGA-PBE | relaxed
# Uncorrected formation energy: 320 meV per atom
data_Be2AlSb2
_chemical_formula_sum 'Be4 Al2 Sb4'
_space_group_name_H-M_alt 'I 4/m m m'
_space_group_IT_number 139
_space_group_name_Hall '-I 4 2'
_cell_length_a 3.6960
_cell_length_b 3.6960
_cell_length_c 14.7006
_cell_angle_alpha 90.00
_cell_angle_beta 90.00
_cell_angle_gamma 90.00
loop_
_atom_site_label
_atom_site_type_symbol
_atom_site_fract_x
_atom_site_fract_y
_atom_site_fract_z
Be1 Be 0.0000 0.5000 0.2500
Al1 Al 0.0000 0.0000 0.0000
Sb1 Sb 0.0000 0.0000 0.3668

[2]
# Nd2AgRu | the Alexandria database | GGA-PBE | relaxed
# Formation energy: -0.24 eV/atom
data_Nd2AgRu
_chemical_formula_sum 'Nd2 Ag1 Ru1'
_space_group_name_H-M_alt 'P 4/m m m'
_space_group_IT_number 123
_space_group_name_Hall '-P 4 2'
_cell_length_a 3.5291
_cell_length_b 3.5291
_cell_length_c 7.7670
_cell_angle_alpha 90.00
_cell_angle_beta 90.00
_cell_angle_gamma 90.00
loop_
_atom_site_label
_atom_site_type_symbol
_atom_site_fract_x
_atom_site_fract_y
_atom_site_fract_z
Nd1 Nd 0.0000 0.0000 0.2234
Ag1 Ag 0.5000 0.5000 0.5000
Ru1 Ru 0.5000 0.5000 0.0000

[3]
# SrTb4S5 | the Alexandria database | GGA-PBE | relaxed
# Uncorrected formation energy: -2015 meV per atom
data_SrTb4S5
_chemical_formula_sum 'Sr2 Tb8 S10'
_space_group_name_H-M_alt 'C 1 2/m 1'
_space_group_IT_number 12
_cell_length_a 13.2755
_cell_length_b 3.9652
_cell_length_c 9.7825
_cell_angle_alpha 90.00
_cell_angle_beta 119.59
_cell_angle_gamma 90.00
loop_
_space_group_symop_operation_xyz
'x,y,z'
'-x,-y,-z'
'-x,y,-z'
'x,-y,z'
'x+1/2,y+1/2,z'
'-x+1/2,-y+1/2,-z'
'-x+1/2,y+1/2,-z'
'x+1/2,-y+1/2,z'
loop_
_atom_site_label
_atom_site_type_symbol
_atom_site_fract_x
_atom_site_fract_y
_atom_site_fract_z
Sr1 Sr 0.0000 0.0000 0.0000
Tb1 Tb 0.0958 0.5000 0.4027
Tb2 Tb 0.1976 0.0000 0.7873
S1 S 0.0000 0.0000 0.5000
S2 S 0.1094 0.5000 0.8975
S3 S 0.2013 0.0000 0.3095

[4]
# Y2Er3Ag2 | the Alexandria database | GGA-PBE | relaxed
# Formation energy: -0.10 eV/atom
data_Y2Er3Ag2
_chemical_formula_sum 'Y4 Er6 Ag4'
_space_group_name_H-M_alt 'C 1 2/m 1'
_space_group_IT_number 12
_cell_length_a 10.5158
_cell_length_b 4.9677
_cell_length_c 8.1009
_cell_angle_alpha 90.00
_cell_angle_beta 113.94
_cell_angle_gamma 90.00
loop_
_space_group_symop_operation_xyz
'x,y,z'
'-x,-y,-z'
'-x,y,-z'
'x,-y,z'
'x+1/2,y+1/2,z'
'-x+1/2,-y+1/2,-z'
'-x+1/2,y+1/2,-z'
'x+1/2,-y+1/2,z'
loop_
_atom_site_label
_atom_site_type_symbol
_atom_site_fract_x
_atom_site_fract_y
_atom_site_fract_z
Y1 Y 0.1208 0.0000 0.2632
Er1 Er 0.0000 0.5000 0.5000
Er2 Er 0.1385 0.5000 0.9586
Ag1 Ag 0.1579 0.0000 0.6733

[5]
# HfTl2AsW | the Alexandria database | GGA-PBE | relaxed
# Formation energy: 1.33 eV/atom
data_HfTl2AsW
_chemical_formula_sum 'Hf1 Tl2 As1 W1'
_space_group_name_H-M_alt 'P 4/m m m'
_space_group_IT_number 123
_space_group_name_Hall '-P 4 2'
_cell_length_a 5.2599
_cell_length_b 5.2599
_cell_length_c 4.6895
_cell_angle_alpha 90.00
_cell_angle_beta 90.00
_cell_angle_gamma 90.00
loop_
_atom_site_label
_atom_site_type_symbol
_atom_site_fract_x
_atom_site_fract_y
_atom_site_fract_z
Hf1 Hf 0.0000 0.0000 0.0000
Tl1 Tl 0.0000 0.5000 0.5000
As1 As 0.5000 0.5000 0.5000
W1 W 0.5000 0.5000 0.0000

[6]
# SmTmGa2Pt5 | the Alexandria database | GGA-PBE | relaxed
# Formation energy: -0.91 eV/atom
data_SmTmGa2Pt5
_chemical_formula_sum 'Sm1 Tm1 Ga2 Pt5'
_space_group_name_H-M_alt 'P 4/m m m'
_space_group_IT_number 123
_space_group_name_Hall '-P 4 2'
_cell_length_a 4.1927
_cell_length_b 4.1927
_cell_length_c 9.3476
_cell_angle_alpha 90.00
_cell_angle_beta 90.00
_cell_angle_gamma 90.00
loop_
_atom_site_label
_atom_site_type_symbol
_atom_site_fract_x
_atom_site_fract_y
_atom_site_fract_z
Sm1 Sm 0.0000 0.0000 0.0000
Tm1 Tm 0.0000 0.0000 0.5000
Ga1 Ga 0.5000 0.5000 0.3708
Pt1 Pt 0.0000 0.5000 0.2291
Pt2 Pt 0.5000 0.5000 0.0000

no.,total DFT energy (no corrections) (eV/atom),total magnetization (μB per formula unit)
1,-3.568,0.0
2,-5.661,0.0
3,-6.099,0.0
4,-4.717,0.0
5,-5.129,0.0
6,-5.964,0.0